No. 1
! meta-GGA SCAN KLa2Ta, PBEsol geometry; values from VASP
! Calculated total energy = -39.522 eV per atom
! Symmetry = P4mm (99)
! DOS(E_F) = 4.53 states/eV/cell
! ΔE_f = 3.035 eV per formula unit
&SYSTEM
  ibrav = 0, nat = 4, ntyp = 3
/
ATOMIC_SPECIES
K 39.10 K.upf
La 138.91 La.upf
Ta 180.95 Ta.upf
ATOMIC_POSITIONS crystal
K 0.000 0.000 0.000
La 0.000 0.000 0.563
La 0.500 0.500 0.305
Ta 0.500 0.500 0.750
CELL_PARAMETERS angstrom
3.140 0.000 0.000
0.000 3.140 0.000
0.000 0.000 12.368

***

No. 2
! meta-GGA SCAN SrAlRu, PBEsol geometry; values from VASP
! Calculated total energy = -20.127 eV per atom
! Symmetry = F-43m (216)
! DOS(E_F) = 6.12 states/eV/cell
! ΔE_f = 4.473 eV per formula unit
&SYSTEM
  ibrav = 0, nat = 3, ntyp = 3
/
ATOMIC_SPECIES
Sr 87.62 Sr.upf
Al 26.98 Al.upf
Ru 101.07 Ru.upf
ATOMIC_POSITIONS crystal
Sr 0.000 0.000 0.000
Al 0.250 0.250 0.250
Ru 0.750 0.750 0.750
CELL_PARAMETERS angstrom
0.000 3.349 3.349
3.349 0.000 3.349
3.349 3.349 0.000

***

No. 3
! meta-GGA SCAN PdS2Cl6, PBEsol geometry; values from VASP
! Calculated total energy = -11.444 eV per atom
! Energy relative to the elements, uncorrected = -3.096 eV/f.u.
! Symmetry = P-1 (2)
! DOS(E_F) = 0.00 states/eV/cell
&SYSTEM
  ibrav = 0, nat = 9, ntyp = 3
/
ATOMIC_SPECIES
Pd 106.42 Pd.upf
S 32.06 S.upf
Cl 35.45 Cl.upf
ATOMIC_POSITIONS crystal
Pd 0.000 0.000 0.000
S 0.303 0.227 0.209
S 0.697 0.773 0.791
Cl 0.074 0.488 0.214
Cl 0.248 0.179 0.442
Cl 0.304 0.134 0.835
Cl 0.696 0.866 0.165
Cl 0.752 0.821 0.558
Cl 0.926 0.512 0.786
CELL_PARAMETERS angstrom
4.394 0.000 0.000
-0.180 6.723 0.000
-0.938 -1.866 7.816

***

No. 4
! meta-GGA SCAN CaTaRh2, PBEsol geometry; values from VASP
! Calculated total energy = -36.522 eV per atom
! Symmetry = P4/mmm (123)
! DOS(E_F) = 2.25 states/eV/cell
! ΔE_f = -2.298 eV per formula unit
&SYSTEM
  ibrav = 0, nat = 4, ntyp = 3
/
ATOMIC_SPECIES
Ca 40.08 Ca.upf
Ta 180.95 Ta.upf
Rh 102.91 Rh.upf
ATOMIC_POSITIONS crystal
Ca 0.000 0.000 0.000
Ta 0.000 0.000 0.500
Rh 0.500 0.500 0.298
Rh 0.500 0.500 0.702
CELL_PARAMETERS angstrom
3.124 0.000 0.000
0.000 3.124 0.000
0.000 0.000 7.292

***

No. 5
! meta-GGA SCAN InReRh, PBEsol geometry; values from VASP
! Calculated total energy = -45.692 eV per atom
! Symmetry = F-43m (216)
! DOS(E_F) = 3.37 states/eV/cell
! ΔE_f = 1.181 eV per formula unit
&SYSTEM
  ibrav = 0, nat = 3, ntyp = 3
/
ATOMIC_SPECIES
In 114.82 In.upf
Re 186.21 Re.upf
Rh 102.91 Rh.upf
ATOMIC_POSITIONS crystal
In 0.000 0.000 0.000
Re 0.500 0.500 0.500
Rh 0.250 0.250 0.250
CELL_PARAMETERS angstrom
0.000 3.003 3.003
3.003 0.000 3.003
3.003 3.003 0.000

***

No. 6
! meta-GGA SCAN YCuBr2, PBEsol geometry; values from VASP
! Calculated total energy = -21.003 eV per atom
! Energy relative to the elements, uncorrected = -2.052 eV/f.u.
! Symmetry = Cmmm (65)
! DOS(E_F) = 1.29 states/eV/cell
&SYSTEM
  ibrav = 0, nat = 4, ntyp = 3
/
ATOMIC_SPECIES
Y 88.91 Y.upf
Cu 63.55 Cu.upf
Br 79.90 Br.upf
ATOMIC_POSITIONS crystal
Y 0.000 0.000 0.000
Cu 0.000 0.000 0.500
Br 0.500 0.500 0.287
Br 0.500 0.500 0.713
CELL_PARAMETERS angstrom
1.764 -3.175 0.000
1.764 3.175 0.000
0.000 0.000 8.338

***

No. 7
! meta-GGA SCAN CaCd2Si, PBEsol geometry; values from VASP
! Calculated total energy = -20.119 eV per atom
! Energy relative to the elements, uncorrected = 0.031 eV/f.u.
! Symmetry = Pmmm (47)
! DOS(E_F) = 1.60 states/eV/cell
&SYSTEM
  ibrav = 0, nat = 4, ntyp = 3
/
ATOMIC_SPECIES
Ca 40.08 Ca.upf
Cd 112.41 Cd.upf
Si 28.09 Si.upf
ATOMIC_POSITIONS crystal
Ca 0.000 0.000 0.000
Cd 0.500 0.500 0.275
Cd 0.500 0.500 0.725
Si 0.000 0.000 0.500
CELL_PARAMETERS angstrom
3.512 0.000 0.000
0.000 4.035 0.000
0.000 0.000 6.215

***

No. 8
! meta-GGA SCAN BaTaOs3, PBEsol geometry; values from VASP
! Calculated total energy = -62.883 eV per atom
! Symmetry = Pm-3m (221)
! DOS(E_F) = 2.70 states/eV/cell
! ΔE_f = 7.356 eV per formula unit
&SYSTEM
  ibrav = 0, nat = 5, ntyp = 3
/
ATOMIC_SPECIES
Ba 137.33 Ba.upf
Ta 180.95 Ta.upf
Os 190.23 Os.upf
ATOMIC_POSITIONS crystal
Ba 0.000 0.000 0.000
Ta 0.500 0.500 0.500
Os 0.000 0.500 0.500
Os 0.500 0.000 0.500
Os 0.500 0.500 0.000
CELL_PARAMETERS angstrom
4.849 0.000 0.000
0.000 4.849 0.000
0.000 0.000 4.849

***

No. 9
! meta-GGA SCAN Sc4Hg5, PBEsol geometry; values from VASP
! Calculated total energy = -44.724 eV per atom
! Symmetry = P6_3/mcm (193)
! DOS(E_F) = 14.47 states/eV/cell
! ΔE_f = -4.735 eV per formula unit
&SYSTEM
  ibrav = 0, nat = 18, ntyp = 2
/
ATOMIC_SPECIES
Sc 44.96 Sc.upf
Hg 200.59 Hg.upf
ATOMIC_POSITIONS crystal
Sc 0.000 0.000 0.000
Sc 0.000 0.000 0.500
Sc 0.000 0.361 0.250
Sc 0.000 0.639 0.750
Sc 0.361 0.000 0.250
Sc 0.361 0.361 0.750
Sc 0.639 0.000 0.750
Sc 0.639 0.639 0.250
Hg 0.000 0.304 0.750
Hg 0.000 0.696 0.250
Hg 0.304 0.000 0.750
Hg 0.304 0.304 0.250
Hg 0.333 0.667 0.000
Hg 0.333 0.667 0.500
Hg 0.667 0.333 0.000
Hg 0.667 0.333 0.500
Hg 0.696 0.000 0.250
Hg 0.696 0.696 0.750
CELL_PARAMETERS angstrom
8.523 0.000 0.000
-4.262 7.381 0.000
0.000 0.000 6.012

***

No. 10
! meta-GGA SCAN BeCd2Ag, PBEsol geometry; values from VASP
! Calculated total energy = -23.916 eV per atom
! Symmetry = R-3m (166)
! DOS(E_F) = 1.16 states/eV/cell
! ΔE_f = 0.886 eV per formula unit
&SYSTEM
  ibrav = 0, nat = 4, ntyp = 3
/
ATOMIC_SPECIES
Be 9.01 Be.upf
Cd 112.41 Cd.upf
Ag 107.87 Ag.upf
ATOMIC_POSITIONS crystal
Be 0.000 0.000 0.000
Cd 0.257 0.257 0.257
Cd 0.743 0.743 0.743
Ag 0.500 0.500 0.500
CELL_PARAMETERS angstrom
1.466 0.846 8.847
-1.466 0.846 8.847
0.000 -1.693 8.847

***

No. 11
! meta-GGA SCAN La2HgOs, PBEsol geometry; values from VASP
! Calculated total energy = -56.907 eV per atom
! Symmetry = R-3m (166)
! DOS(E_F) = 1.90 states/eV/cell
! ΔE_f = -1.371 eV per formula unit
&SYSTEM
  ibrav = 0, nat = 4, ntyp = 3
/
ATOMIC_SPECIES
La 138.91 La.upf
Hg 200.59 Hg.upf
Os 190.23 Os.upf
ATOMIC_POSITIONS crystal
La 0.232 0.232 0.232
La 0.768 0.768 0.768
Hg 0.000 0.000 0.000
Os 0.500 0.500 0.500
CELL_PARAMETERS angstrom
2.078 1.199 7.649
-2.078 1.199 7.649
0.000 -2.399 7.649

***

No. 12
! meta-GGA SCAN Li2MnRh, PBEsol geometry; values from VASP
! Calculated total energy = -14.281 eV per atom
! Symmetry = Cmm2 (35)
! DOS(E_F) = 1.97 states/eV/cell
! ΔE_f = -0.317 eV per formula unit
&SYSTEM
  ibrav = 0, nat = 4, ntyp = 3
/
ATOMIC_SPECIES
Li 6.94 Li.upf
Mn 54.94 Mn.upf
Rh 102.91 Rh.upf
ATOMIC_POSITIONS crystal
Li 0.000 0.000 0.000
Li 0.500 0.500 0.296
Mn 0.500 0.500 0.748
Rh 0.000 0.000 0.527
CELL_PARAMETERS angstrom
1.471 -2.251 0.000
1.471 2.251 0.000
0.000 0.000 8.927

***

No. 13
! meta-GGA SCAN KIrRu, PBEsol geometry; values from VASP
! Calculated total energy = -36.584 eV per atom
! Symmetry = F-43m (216)
! DOS(E_F) = 4.49 states/eV/cell
! ΔE_f = 4.502 eV per formula unit
&SYSTEM
  ibrav = 0, nat = 3, ntyp = 3
/
ATOMIC_SPECIES
K 39.10 K.upf
Ir 192.22 Ir.upf
Ru 101.07 Ru.upf
ATOMIC_POSITIONS crystal
K 0.000 0.000 0.000
Ir 0.500 0.500 0.500
Ru 0.750 0.750 0.750
CELL_PARAMETERS angstrom
0.000 3.081 3.081
3.081 0.000 3.081
3.081 3.081 0.000